[1]
Material: Cs3PuO4
Method: DFT, PBE
State: relaxed

Results
Energy ... -6.48 eV/atom
Offset from the most stable computed form ... 0.0 meV/atom
ΔE_f (raw) ... -1.89 eV per atom
Crystal system ... tetragonal

Cell and atoms, written as extended XYZ:
```
8
Lattice="-3.5393 3.5393 4.1473 3.5393 -3.5393 4.1473 3.5393 3.5393 -4.1473" Properties=species:S:1:pos:R:3 pbc="T T T"
Cs 0.0000 0.0000 0.0000
Cs 3.5393 0.0000 2.0736
Cs 0.0000 3.5393 2.0736
Pu 0.0000 0.0000 4.1473
O 2.1358 2.1358 0.0000
O 1.4035 -1.4035 4.1473
O -1.4035 1.4035 4.1473
O 1.4035 1.4035 4.1473
```

---

[2]
Material: Cs2PuO4
Method: DFT, PBE
State: relaxed

Results
Energy ... -7.37 eV/atom
ΔE_f (raw) ... -2.24 eV per atom
Crystal system ... monoclinic

Cell and atoms, written as extended XYZ:
```
7
Lattice="6.7078 -1.7720 0.0000 6.7078 1.7720 0.0000 -3.2501 0.0000 6.1659" Properties=species:S:1:pos:R:3 pbc="T T T"
Cs 1.5979 0.0000 1.0700
Cs 8.5676 0.0000 5.0959
Pu 5.0827 0.0000 3.0830
O -0.3579 0.0000 3.5737
O 5.7929 0.0000 1.3286
O 4.3726 0.0000 4.8373
O 10.5234 0.0000 2.5922
```

---

[3]
Material: Cs4PuO5
Method: DFT, PBE
State: relaxed

Results
Energy ... -6.19 eV/atom
ΔE_f (raw) ... -1.94 eV per atom
Crystal system ... tetragonal

Cell and atoms, written as extended XYZ:
```
10
Lattice="-4.5403 4.5403 3.1012 4.5403 -4.5403 3.1012 4.5403 4.5403 -3.1012" Properties=species:S:1:pos:R:3 pbc="T T T"
Cs 2.6745 0.9200 0.0000
Cs 3.6203 -1.8658 3.1012
Cs 0.9200 6.4061 0.0000
Cs 1.8658 3.6203 3.1012
Pu 0.0000 0.0000 3.2731
O 5.1801 2.6353 -0.0035
O 2.6353 3.9005 -0.0035
O 1.9050 0.6398 3.0977
O -0.6398 1.9050 3.0977
O 0.0000 0.0000 5.3368
```

---

- energy of number 3 (Cs4PuO5)?
  -6.19 eV/atom